[1]
Density functional theory data (PBE) for crystalline AgP2 at its relaxed geometry.

Calculated values
Offset from the most stable computed form = 14.0 kJ/mol of atoms
Calculated volume = 18.0 Å³ per atom
SG = C2/m (12)
Formation energy = 0.43 eV per formula unit

a = 4.591 Å, b = 4.591 Å, c = 7.732 Å
α = 89.48°, β = 89.48°, γ = 41.37°
Element x y z (fractional)
Ag 0.354 0.354 0.884
Ag 0.646 0.646 0.116
P 0.616 0.616 0.568
P 0.919 0.919 0.234
P 0.081 0.081 0.766
P 0.384 0.384 0.432

[2]
Density functional theory data (PBE) for crystalline ScU2Tl2S6 at its relaxed geometry.

Calculated values
Calculated volume = 27.6 Å³ per atom
SG = C2/m (12)
Energy relative to the elements, uncorrected = -1.261 eV per atom

a = 6.783 Å, b = 6.783 Å, c = 7.945 Å
α = 98.18°, β = 98.18°, γ = 119.85°
Site moments in Bohr magnetons follow the coordinates.
Element x y z (fractional)
Sc 0.000 0.000 0.500  0.11
U 0.334 0.666 0.500  2.31
U 0.666 0.334 0.500  2.31
Tl 0.833 0.167 0.000  0.01
Tl 0.167 0.833 0.000  0.01
S 0.743 0.743 0.692  -0.05
S 0.063 0.388 0.691  -0.05
S 0.257 0.257 0.308  -0.05
S 0.388 0.063 0.691  -0.05
S 0.937 0.612 0.309  -0.05
S 0.612 0.937 0.309  -0.05

[3]
Density functional theory data (PBE) for crystalline AlVReAs2 at its relaxed geometry.

Calculated values
Calculated volume = 22.0 Å³ per atom
SG = P4/mmm (123)
Formation energy = 4.48 eV per formula unit

a = 4.759 Å, b = 4.847 Å, c = 4.759 Å
α = 90.00°, β = 90.00°, γ = 90.00°
Site moments in Bohr magnetons follow the coordinates.
Element x y z (fractional)
Re 0.000 0.000 0.000  0.07
As 0.000 0.000 0.500  0.00
As 0.500 0.000 0.000  0.01
Al 0.500 0.500 0.500  0.00
V 0.000 0.500 0.000  -0.06